Entry 1:
## PaPBr (GGA-PBE)

Data for an optimized crystal structure of PaPBr.

Structure (CIF):
```
data_PaPBr
_space_group_name_H-M_alt 'P 3 m 1'
_space_group_IT_number 156
_space_group_name_Hall 'P 3 -2"'
_cell_length_a 4.1098
_cell_length_b 4.1098
_cell_length_c 6.8097
_cell_angle_alpha 90.00
_cell_angle_beta 90.00
_cell_angle_gamma 120.00
loop_
_atom_site_label
_atom_site_type_symbol
_atom_site_fract_x
_atom_site_fract_y
_atom_site_fract_z
_atom_site_occupancy
Pa1 Pa 0.0000 0.0000 0.0000 1
P1 P 0.6667 0.3333 0.8187 1
Br1 Br 0.3333 0.6667 0.2801 1
```

- size of the total moment (μB/f.u.) = 1.0
- uncorrected formation energy (eV per atom) = -0.860

Entry 2:
## PuTh2Cd6 (GGA-PBE)

Data for an optimized crystal structure of PuTh2Cd6.

Structure (CIF):
```
data_PuTh2Cd6
_space_group_name_H-M_alt 'C 1 2/m 1'
_space_group_IT_number 12
_space_group_name_Hall '-C 2y'
_cell_length_a 15.4424
_cell_length_b 8.9214
_cell_length_c 3.3070
_cell_angle_alpha 90.00
_cell_angle_beta 90.01
_cell_angle_gamma 90.00
loop_
_atom_site_label
_atom_site_type_symbol
_atom_site_fract_x
_atom_site_fract_y
_atom_site_fract_z
_atom_site_occupancy
Pu1 Pu 0.0000 0.0000 0.0000 1
Th1 Th 0.1667 0.5000 0.0000 1
Cd1 Cd 0.0000 0.3320 0.5000 1
Cd2 Cd 0.1659 0.1658 0.4985 1
```

- energy of formation from the pure elements (eV/atom) = -0.157
- size of the total moment (μB/f.u.) = 5.9

Entry 3:
## LiNpRh4 (GGA-PBE)

Data for an optimized crystal structure of LiNpRh4.

Structure (CIF):
```
data_LiNpRh4
_space_group_name_H-M_alt 'F -4 3 m'
_space_group_IT_number 216
_space_group_name_Hall 'F -4 2 3'
_cell_length_a 7.3769
_cell_length_b 7.3769
_cell_length_c 7.3769
_cell_angle_alpha 90.00
_cell_angle_beta 90.00
_cell_angle_gamma 90.00
loop_
_atom_site_label
_atom_site_type_symbol
_atom_site_fract_x
_atom_site_fract_y
_atom_site_fract_z
_atom_site_occupancy
Li1 Li 0.0000 0.0000 0.0000 1
Np1 Np 0.2500 0.2500 0.7500 1
Rh1 Rh 0.1257 0.1257 0.3743 1
```

- energy of formation from the pure elements (eV/atom) = -0.243
- size of the total moment (μB/f.u.) = 3.0

Entry 4:
## RhCN2F (GGA-PBE)

Data for an optimized crystal structure of RhCN2F.

Structure (CIF):
```
data_RhCN2F
_space_group_name_H-M_alt 'P 4/m m m'
_space_group_IT_number 123
_space_group_name_Hall '-P 4 2'
_cell_length_a 3.4989
_cell_length_b 3.4989
_cell_length_c 3.4092
_cell_angle_alpha 90.00
_cell_angle_beta 90.00
_cell_angle_gamma 90.00
loop_
_atom_site_label
_atom_site_type_symbol
_atom_site_fract_x
_atom_site_fract_y
_atom_site_fract_z
_atom_site_occupancy
Rh1 Rh 0.0000 0.0000 0.0000 1
C1 C 0.5000 0.5000 0.5000 1
N1 N 0.0000 0.5000 0.5000 1
F1 F 0.5000 0.5000 0.0000 1
```

- size of the total moment (μB/f.u.) = 0.0
- uncorrected formation energy (eV per atom) = 1.848

Entry 5:
## Nd2Er15Sc2 (GGA-PBE)

Data for an optimized crystal structure of Nd2Er15Sc2.

Structure (CIF):
```
data_Nd2Er15Sc2
_space_group_name_H-M_alt 'R -3 m'
_space_group_IT_number 166
_space_group_name_Hall '-R 3 2"'
_cell_length_a 11.1249
_cell_length_b 11.1249
_cell_length_c 17.1523
_cell_angle_alpha 90.00
_cell_angle_beta 90.00
_cell_angle_gamma 120.00
loop_
_atom_site_label
_atom_site_type_symbol
_atom_site_fract_x
_atom_site_fract_y
_atom_site_fract_z
_atom_site_occupancy
Nd1 Nd 0.0000 0.0000 0.1746 1
Er1 Er 0.0000 0.2940 0.5000 1
Er2 Er 0.0000 0.5000 0.0000 1
Er3 Er 0.0049 0.5024 0.6401 1
Sc1 Sc 0.0000 0.0000 0.4077 1
```

- energy of formation from the pure elements (eV/atom) = 0.282
- size of the total moment (μB/f.u.) = 3.0

Entry 6:
## YCr2Pb (GGA-PBE)

Data for an optimized crystal structure of YCr2Pb.

Structure (CIF):
```
data_YCr2Pb
_space_group_name_H-M_alt 'C 1 2/m 1'
_space_group_IT_number 12
_space_group_name_Hall '-C 2y'
_cell_length_a 6.2651
_cell_length_b 9.9684
_cell_length_c 3.2289
_cell_angle_alpha 90.00
_cell_angle_beta 116.06
_cell_angle_gamma 90.00
loop_
_atom_site_label
_atom_site_type_symbol
_atom_site_fract_x
_atom_site_fract_y
_atom_site_fract_z
_atom_site_occupancy
Y1 Y 0.0000 0.0000 0.0000 1
Cr1 Cr 0.2500 0.2500 0.5000 1
Pb1 Pb 0.0000 0.5000 0.0000 1
```

- energy of formation from the pure elements (eV/atom) = 0.615
- size of the total moment (μB/f.u.) = 7.3

Entry 7:
## BaCo4Pb (GGA-PBE)

Data for an optimized crystal structure of BaCo4Pb.

Structure (CIF):
```
data_BaCo4Pb
_space_group_name_H-M_alt 'F -4 3 m'
_space_group_IT_number 216
_space_group_name_Hall 'F -4 2 3'
_cell_length_a 7.4873
_cell_length_b 7.4873
_cell_length_c 7.4873
_cell_angle_alpha 90.00
_cell_angle_beta 90.00
_cell_angle_gamma 90.00
loop_
_atom_site_label
_atom_site_type_symbol
_atom_site_fract_x
_atom_site_fract_y
_atom_site_fract_z
_atom_site_occupancy
Ba1 Ba 0.0000 0.0000 0.0000 1
Co1 Co 0.1221 0.1221 0.6221 1
Pb1 Pb 0.2500 0.2500 0.2500 1
```

- energy of formation from the pure elements (eV/atom) = 0.505
- size of the total moment (μB/f.u.) = 5.8

Entry 8:
## Ho2PuHg4 (GGA-PBE)

Data for an optimized crystal structure of Ho2PuHg4.

Structure (CIF):
```
data_Ho2PuHg4
_space_group_name_H-M_alt 'P 4/m m m'
_space_group_IT_number 123
_space_group_name_Hall '-P 4 2'
_cell_length_a 5.2271
_cell_length_b 5.2271
_cell_length_c 7.0980
_cell_angle_alpha 90.00
_cell_angle_beta 90.00
_cell_angle_gamma 90.00
loop_
_atom_site_label
_atom_site_type_symbol
_atom_site_fract_x
_atom_site_fract_y
_atom_site_fract_z
_atom_site_occupancy
Ho1 Ho 0.0000 0.0000 0.0000 1
Ho2 Ho 0.5000 0.5000 0.5000 1
Pu1 Pu 0.0000 0.0000 0.5000 1
Hg1 Hg 0.0000 0.5000 0.2340 1
```

- energy of formation from the pure elements (eV/atom) = -0.214
- size of the total moment (μB/f.u.) = 6.1

Entry 9:
## Ca7ErIn4 (GGA-PBE)

Data for an optimized crystal structure of Ca7ErIn4.

Structure (CIF):
```
data_Ca7ErIn4
_space_group_name_H-M_alt 'C 1 2/m 1'
_space_group_IT_number 12
_space_group_name_Hall '-C 2y'
_cell_length_a 14.8266
_cell_length_b 5.7719
_cell_length_c 11.4017
_cell_angle_alpha 90.00
_cell_angle_beta 125.74
_cell_angle_gamma 90.00
loop_
_atom_site_label
_atom_site_type_symbol
_atom_site_fract_x
_atom_site_fract_y
_atom_site_fract_z
_atom_site_occupancy
Ca1 Ca 0.0000 0.0000 0.0000 1
Ca2 Ca 0.0726 0.5000 0.3667 1
Ca3 Ca 0.1752 0.0000 0.6179 1
Ca4 Ca 0.2200 0.5000 0.8778 1
Er1 Er 0.0000 0.5000 0.0000 1
In1 In 0.0593 0.0000 0.7787 1
In2 In 0.1849 0.0000 0.3281 1
```

- energy of formation from the pure elements (eV/atom) = -0.142
- size of the total moment (μB/f.u.) = 0.5

Entry 10:
## IrC3 (GGA-PBE)

Data for an optimized crystal structure of IrC3.

Structure (CIF):
```
data_IrC3
_space_group_name_H-M_alt 'C m c m'
_space_group_IT_number 63
_space_group_name_Hall '-C 2c 2'
_cell_length_a 3.5178
_cell_length_b 9.5161
_cell_length_c 4.7495
_cell_angle_alpha 90.00
_cell_angle_beta 90.00
_cell_angle_gamma 90.00
loop_
_atom_site_label
_atom_site_type_symbol
_atom_site_fract_x
_atom_site_fract_y
_atom_site_fract_z
_atom_site_occupancy
Ir1 Ir 0.0000 0.0744 0.2500 1
C1 C 0.0000 0.2074 0.7500 1
C2 C 0.1981 0.3963 0.2500 1
```

- energy of formation from the pure elements (eV/atom) = 1.419
- size of the total moment (μB/f.u.) = 0.0

Entry 11:
## NaCaPO2 (GGA-PBE)

Data for an optimized crystal structure of NaCaPO2.

Structure (CIF):
```
data_NaCaPO2
_space_group_name_H-M_alt 'P 4/m m m'
_space_group_IT_number 123
_space_group_name_Hall '-P 4 2'
_cell_length_a 4.5073
_cell_length_b 4.5073
_cell_length_c 5.7346
_cell_angle_alpha 90.00
_cell_angle_beta 90.00
_cell_angle_gamma 90.00
loop_
_atom_site_label
_atom_site_type_symbol
_atom_site_fract_x
_atom_site_fract_y
_atom_site_fract_z
_atom_site_occupancy
Na1 Na 0.0000 0.0000 0.0000 1
Ca1 Ca 0.5000 0.5000 0.5000 1
P1 P 0.5000 0.5000 0.0000 1
O1 O 0.0000 0.5000 0.5000 1
```

- size of the total moment (μB/f.u.) = 4.0
- uncorrected formation energy (eV per atom) = -0.344

Entry 12:
## As2SeCl (GGA-PBE)

Data for an optimized crystal structure of As2SeCl.

Structure (CIF):
```
data_As2SeCl
_space_group_name_H-M_alt 'I m m 2'
_space_group_IT_number 44
_space_group_name_Hall 'I 2 -2'
_cell_length_a 3.6923
_cell_length_b 4.1245
_cell_length_c 12.9346
_cell_angle_alpha 90.00
_cell_angle_beta 90.00
_cell_angle_gamma 90.00
loop_
_atom_site_label
_atom_site_type_symbol
_atom_site_fract_x
_atom_site_fract_y
_atom_site_fract_z
_atom_site_occupancy
As1 As 0.0000 0.0000 0.0000 1
As2 As 0.0000 0.5000 0.3520 1
Se1 Se 0.0000 0.5000 0.8634 1
Cl1 Cl 0.0000 0.0000 0.6030 1
```

- size of the total moment (μB/f.u.) = 0.0
- uncorrected formation energy (eV per atom) = 0.023